# 1
A geometry-optimized SrGe3Te structure. Source: the Alexandria database, functional PBE.

Lattice parameters (Å, degrees): 5.6756 5.6756 5.6756 90.00 90.00 90.00
Positions (direct):
Sr: 0.0000 0.0000 0.0000
Ge: 0.0000 0.5000 0.0000
Ge: 0.0000 0.0000 0.5000
Ge: 0.5000 0.0000 0.0000
Te: 0.5000 0.5000 0.5000

Properties
Formation energy without anion corrections: 1.1681 eV/atom
Relative energy among the computed polymorphs: 784.8 meV per atom

=====

# 2
A geometry-optimized SrGe2Te4 structure. Source: the Alexandria database, functional PBE.

Lattice parameters (Å, degrees): 6.9109 6.9109 6.9109 103.93 103.93 121.23
Positions (direct):
Sr: 0.5000 0.5000 0.0000
Ge: 0.2500 0.7500 0.5000
Ge: 0.7500 0.2500 0.5000
Te: 0.3013 0.1603 0.4616
Te: 0.8397 0.3013 0.1409
Te: 0.1603 0.6987 0.8591
Te: 0.6987 0.8397 0.5384

Properties
Formation energy without anion corrections: -0.4456 eV/atom

=====

# 3
A geometry-optimized SrTiGe2Te structure. Source: the Alexandria database, functional PBE.

Lattice parameters (Å, degrees): 5.6002 5.0418 5.6002 90.00 90.00 90.00
Positions (direct):
Sr: 0.5000 0.5000 0.5000
Ge: 0.0000 0.0000 0.5000
Ge: 0.5000 0.0000 0.0000
Te: 0.0000 0.0000 0.0000
Ti: 0.0000 0.5000 0.0000

Properties
Formation energy without anion corrections: 0.4396 eV/atom

=====

| no. | calculated density (Mg/m³) |
| --- | --- |
| 1 | 3.93 |
| 2 | 5.02 |
| 3 | 4.29 |